(1)
Material: Cd2Pd4Pt
Method: DFT, PBE
State: optimized geometry

The structure in extended XYZ format:
```
14
Lattice="6.8140 0.0000 -0.4120 0.0000 5.2259 0.0000 -3.0429 0.0000 6.9604" Properties=species:S:1:pos:R:3 pbc="T T T"
Cd 5.3740 3.9194 -0.2507
Cd -1.6029 1.3065 6.7991
Cd 1.1061 1.3065 2.8108
Cd 2.6650 3.9194 3.7376
Pd 3.4130 2.6085 1.3561
Pd -1.9848 3.9194 5.7483
Pd 5.7558 1.3065 0.8001
Pd 3.4130 0.0045 1.3561
Pd 4.9983 1.3065 3.4672
Pd 0.3581 5.2214 5.1923
Pd 0.3581 2.6174 5.1923
Pd -1.2273 3.9194 3.0812
Pt 0.9686 3.9194 1.5194
Pt 2.8025 1.3065 5.0290
```

Summary:
The calculation puts the total magnetic moment at 0.0 μB per cell. The value obtained for the energy above the most stable polymorph in this dataset is 0.00 eV/f.u. The volume is 241.3 Å³ per cell. The formation energy is -127 meV per atom. The total energy comes out at -59.1 eV per cell. As for the space-group type: P2_1/m (11).


(2)
Material: CdPdPt14
Method: DFT, PBE
State: optimized geometry

The structure in extended XYZ format:
```
16
Lattice="5.5897 -0.3520 0.0000 -2.5146 5.0045 0.0000 0.0000 0.0000 9.3768" Properties=species:S:1:pos:R:3 pbc="T T T"
Cd -2.1916 4.7911 4.6884
Pd 1.8595 2.1135 4.6884
Pt -0.8100 3.8779 0.0000
Pt 3.2433 1.1989 0.0000
Pt -0.9373 2.2948 4.6884
Pt 0.4464 1.3780 0.0000
Pt 0.5966 4.6154 4.6884
Pt 1.9823 3.7017 0.0000
Pt 1.7896 0.4953 7.0452
Pt 1.7896 0.4953 2.3316
Pt 3.3208 2.8120 7.0452
Pt 3.3208 2.8120 2.3316
Pt 0.5244 2.9959 7.0138
Pt 0.5244 2.9959 2.3630
Pt 4.5711 0.3213 7.0340
Pt 4.5711 0.3213 2.3428
```

Summary:
The calculation puts the total magnetic moment at 0.0 μB per cell. The volume is 254.0 Å³ per cell. The formation energy is -38 meV per atom. The total energy comes out at -91.3 eV per cell. As for the space-group type: Amm2 (38).


(3)
Material: Cd2Pd3Pt4
Method: DFT, PBE
State: optimized geometry

The structure in extended XYZ format:
```
9
Lattice="2.7713 0.0000 -0.5967 -0.5859 7.1983 -2.7211 0.1640 -0.4521 7.4956" Properties=species:S:1:pos:R:3 pbc="T T T"
Cd 1.8861 -0.1160 2.0259
Cd 0.4633 6.8622 2.1519
Pd 2.2777 2.0193 3.8449
Pd 0.0717 4.7269 0.3329
Pd 0.0000 0.0000 0.0000
Pt 1.9835 4.4627 2.4783
Pt 0.3659 2.2835 1.6995
Pt 1.1038 4.3488 5.1264
Pt 1.2456 2.3974 -0.9486
```

Summary:
The calculation puts the total magnetic moment at 0.0 μB per cell. The volume is 146.7 Å³ per cell. The formation energy is -162 meV per atom. The total energy comes out at -43.0 eV per cell. As for the space-group type: C2/m (12).


(4)
Material: CdPd3Pt3
Method: DFT, PBE
State: optimized geometry

The structure in extended XYZ format:
```
14
Lattice="-3.8796 2.0723 -1.6618 -2.9910 -0.1394 6.8088 4.0518 5.8506 -2.1632" Properties=species:S:1:pos:R:3 pbc="T T T"
Cd -1.6133 2.3754 3.4027
Cd -1.2055 5.4082 -0.4189
Pd -2.5268 2.9150 -0.4434
Pd 0.2277 6.2679 -2.6925
Pd -1.5014 0.7418 1.1045
Pd -1.3174 7.0417 1.8793
Pd -3.0465 1.5157 5.6764
Pd -0.2920 4.8686 3.4272
Pt -3.9410 2.0263 1.7499
Pt -2.6214 4.5727 1.8448
Pt 1.2780 4.1479 -1.1368
Pt -4.0969 3.6357 4.1207
Pt -0.1974 3.2109 1.1391
Pt 1.1222 5.7573 1.2339
```

Summary:
The calculation puts the total magnetic moment at 0.0 μB per cell. The value obtained for the energy above the most stable polymorph in this dataset is 0.45 eV/f.u. The volume is 225.3 Å³ per cell. The formation energy is -78 meV per atom. The total energy comes out at -70.3 eV per cell. As for the space-group type: P6_3/m (176).


(5)
Material: CdPd14Pt
Method: DFT, PBE
State: optimized geometry

The structure in extended XYZ format:
```
16
Lattice="5.5732 -0.3143 0.0000 -2.4734 5.0042 0.0000 0.0000 0.0000 9.2216" Properties=species:S:1:pos:R:3 pbc="T T T"
Cd -2.1224 4.7721 4.6108
Pd -0.8108 3.9052 0.0000
Pd 3.2083 1.2488 0.0000
Pd -0.8839 2.2660 4.6108
Pd 0.4236 1.4066 0.0000
Pd 0.6687 4.6150 4.6108
Pd 1.9717 3.7488 0.0000
Pd 1.7873 0.5139 6.9284
Pd 1.7873 0.5139 2.2931
Pd 3.3275 2.8442 6.9284
Pd 3.3275 2.8442 2.2931
Pd 0.5462 3.0083 6.9102
Pd 0.5462 3.0083 2.3114
Pd 4.5623 0.3538 6.9427
Pd 4.5623 0.3538 2.2789
Pt 1.8964 2.1159 4.6108
```

Summary:
The calculation puts the total magnetic moment at 0.0 μB per cell. The volume is 250.0 Å³ per cell. The formation energy is -49 meV per atom. The total energy comes out at -80.4 eV per cell. As for the space-group type: Amm2 (38).


(6)
Material: CdPd3Pt
Method: DFT, PBE
State: optimized geometry

The structure in extended XYZ format:
```
5
Lattice="4.9070 0.0000 0.0000 0.0000 4.9070 0.0000 0.0000 0.0000 4.9070" Properties=species:S:1:pos:R:3 pbc="T T T"
Pd 0.0000 2.4535 0.0000
Pd 0.0000 0.0000 2.4535
Pd 2.4535 0.0000 0.0000
Pt 0.0000 0.0000 0.0000
Cd 2.4535 2.4535 2.4535
```

Summary:
The calculation puts the total magnetic moment at 0.0 μB per cell. The value obtained for the energy above the most stable polymorph in this dataset is 4.91 eV/f.u. The volume is 118.2 Å³ per cell. The formation energy is 792 meV per atom. The total energy comes out at -18.6 eV per cell. As for the space-group type: Pm-3m (221).


(7)
Material: CdPd4Pt4
Method: DFT, PBE
State: optimized geometry

The structure in extended XYZ format:
```
9
Lattice="-1.6888 2.9648 1.9290 -4.4621 2.4945 -3.7583 -4.9148 -2.3329 3.2649" Properties=species:S:1:pos:R:3 pbc="T T T"
Cd -3.0755 2.7296 -0.9147
Pd -5.9288 -1.4260 2.9743
Pd -5.1369 4.5523 -1.5388
Pd -5.2889 2.9286 0.8238
Pd -5.7768 0.1978 0.6118
Pt -3.2276 1.1086 1.4437
Pt -7.8381 2.0178 -0.0081
Pt -5.6571 1.7884 -1.7283
Pt -5.4086 1.3379 3.1638
```

Summary:
The calculation puts the total magnetic moment at 0.0 μB per cell. The volume is 142.7 Å³ per cell. The formation energy is -131 meV per atom. The total energy comes out at -47.0 eV per cell. As for the space-group type: I4/mmm (139).


(8)
Material: Cd3PdPt4
Method: DFT, PBE
State: optimized geometry

The structure in extended XYZ format:
```
8
Lattice="4.0117 0.0000 -1.0829 -0.2877 4.0060 -1.0658 0.1153 0.0767 8.3994" Properties=species:S:1:pos:R:3 pbc="T T T"
Pt 1.4875 1.5648 5.5107
Pt 2.3518 2.5179 0.7400
Pt 0.4897 0.5154 1.8142
Pt 3.3496 3.5674 4.4365
Pd 2.0059 0.0000 -0.5415
Cd -0.1438 2.0030 -0.5329
Cd 2.9961 1.0419 3.1269
Cd 0.8432 3.0409 3.1238
```

Summary:
The calculation puts the total magnetic moment at 0.0 μB per cell. The volume is 135.8 Å³ per cell. The formation energy is -259 meV per atom. The total energy comes out at -34.2 eV per cell. As for the space-group type: C2/m (12).


(9)
Material: Cd3Pd5Pt3
Method: DFT, PBE
State: optimized geometry

The structure in extended XYZ format:
```
11
Lattice="-1.7542 -0.6609 2.1220 -3.7877 -6.5077 -5.1578 7.1602 -1.9719 5.3049" Properties=species:S:1:pos:R:3 pbc="T T T"
Cd -2.2090 -3.7952 -3.0080
Cd 4.1758 -1.1500 3.0938
Cd 1.4057 -3.5344 0.0613
Pd -1.0155 -5.3262 -0.6092
Pd 2.6339 -3.8143 2.8783
Pd -2.1428 -2.5051 -0.6625
Pd 1.3685 -5.9765 1.1590
Pd 1.5156 -0.9894 2.8337
Pt -4.0345 -5.7552 -3.2385
Pt -0.3159 -1.7414 1.0855
Pt 5.0917 -1.9742 5.4832
```

Summary:
The calculation puts the total magnetic moment at 0.0 μB per cell. The volume is 204.3 Å³ per cell. The formation energy is 110 meV per atom. The total energy comes out at -45.6 eV per cell. As for the space-group type: P-62m (189).


(10)
Material: Cd4PdPt3
Method: DFT, PBE
State: optimized geometry

The structure in extended XYZ format:
```
8
Lattice="4.1294 0.0038 -1.1099 -0.2919 4.1242 -1.0907 0.0159 -0.0212 8.2299" Properties=species:S:1:pos:R:3 pbc="T T T"
Pt -0.1459 2.0621 -0.5454
Pt 3.0316 1.0229 3.0066
Pt 0.8218 3.0839 3.0226
Pd 2.0647 0.0019 -0.5550
Cd 1.4538 1.5334 5.3548
Cd 2.3997 2.5734 0.6744
Cd 0.4822 0.5081 1.7746
Cd 3.3712 3.5987 4.2546
```

Summary:
The calculation puts the total magnetic moment at 0.0 μB per cell. The volume is 140.1 Å³ per cell. The formation energy is -353 meV per atom. The total energy comes out at -29.8 eV per cell. As for the space-group type: C2/m (12).


(11)
Material: CdPd6Pt3
Method: DFT, PBE
State: optimized geometry

The structure in extended XYZ format:
```
20
Lattice="-0.8978 -2.1175 -4.0486 6.1952 -4.0387 0.7385 -8.2378 -4.1933 4.0199" Properties=species:S:1:pos:R:3 pbc="T T T"
Cd 1.0223 -6.8321 2.0078
Cd -3.9628 -3.5174 -1.2980
Pd 2.1202 -2.6946 -0.3997
Pd -5.0607 -7.6550 1.1095
Pd -0.6026 -1.8946 -0.2143
Pd -2.3379 -8.4549 0.9241
Pd -1.6106 -5.9933 2.1529
Pd -1.3299 -4.3563 -1.4431
Pd -2.4149 -3.5965 1.0777
Pd -0.5256 -6.7531 -0.3679
Pd 2.9418 -5.1049 0.6788
Pd -5.8823 -5.2447 0.0311
Pd -6.9730 -4.4729 2.5469
Pd 4.0325 -5.8767 -1.8370
Pt 0.2893 -4.3172 0.8550
Pt -3.2298 -6.0323 -0.1452
Pt -4.2596 -5.2778 2.3661
Pt 1.3192 -5.0718 -1.6563
Pt -3.3921 -7.6836 3.4320
Pt 0.4516 -2.6659 -2.7222
```

Summary:
The calculation puts the total magnetic moment at 0.0 μB per cell. The value obtained for the energy above the most stable polymorph in this dataset is 0.00 eV/f.u. The volume is 317.3 Å³ per cell. The formation energy is -68 meV per atom. The total energy comes out at -101.7 eV per cell. As for the space-group type: P2_1/m (11).


(12)
Material: Cd16Pd6Pt7
Method: DFT, PBE
State: optimized geometry

The structure in extended XYZ format:
```
29
Lattice="-7.8112 -4.2751 2.3385 -0.5854 -9.1686 -0.5942 -0.3430 -5.0967 7.6593" Properties=species:S:1:pos:R:3 pbc="T T T"
Cd -7.4527 -13.6803 4.4647
Cd -7.6199 -16.1652 8.1990
Cd -7.3345 -11.6950 8.4887
Cd -3.8116 -14.0809 7.0588
Cd -1.1196 -2.3753 1.2047
Cd -1.2869 -4.8602 4.9390
Cd -1.4050 -6.8454 0.9151
Cd -4.9280 -4.4596 2.3449
Cd -5.2877 -9.0402 2.0564
Cd -5.4586 -11.5802 5.8735
Cd -5.1669 -7.0109 6.1696
Cd -1.5659 -9.4496 4.7080
Cd -3.2809 -6.9603 3.5303
Cd -3.4518 -9.5003 7.3474
Cd -3.5726 -11.5296 3.2342
Cd -7.1737 -9.0908 4.6957
Pd -2.4546 -9.2188 2.0216
Pd -6.2850 -9.3216 7.3821
Pd -6.1114 -6.7423 3.5058
Pd -2.6281 -11.7982 5.8979
Pd -6.4076 -11.3824 3.2051
Pd -2.3319 -7.1581 6.1986
Pt 0.0000 0.0000 0.0000
Pt -4.0771 -4.6859 4.9989
Pt -0.2927 -4.5843 -0.2971
Pt -0.4642 -7.1327 3.5326
Pt -3.9056 -2.1375 1.1693
Pt -0.1715 -2.5484 3.8297
Pt -4.1983 -6.7219 0.8722
```

Summary:
The calculation puts the total magnetic moment at 0.0 μB per cell. The volume is 551.8 Å³ per cell. The formation energy is -338 meV per atom. The total energy comes out at -97.9 eV per cell. As for the space-group type: Fm-3m (225).


Q: Which of these has the highest volume?
A: Cd16Pd6Pt7